No. 1
An optimized crystal structure of CeCIN2. Source: Alexandria, functional GGA-PBE.

Values from the calculation:
Its space-group type is P2_1/m, No. 11. The uncorrected formation energy is -0.806 eV/atom. The energy is -74.782 eV for the cell shown.

Structure (POSCAR):
```
CeCIN2
1.0
5.5130 0.0000 0.0000
0.0000 4.0964 0.0000
-1.2976 0.0000 8.1114
Ce C I N
2 2 2 4
Cartesian
0.7011 1.0241 1.6973
3.5143 3.0723 6.4141
0.7991 1.0241 7.0500
3.4163 3.0723 1.0614
0.7265 3.0723 4.4930
3.4889 1.0241 3.6184
-0.4416 1.0241 7.2224
2.1980 3.0723 1.2020
2.0174 1.0241 6.9094
4.6570 3.0723 0.8890
```

=====

No. 2
An optimized crystal structure of CeNd2C2I2. Source: Alexandria, functional GGA-PBE.

Values from the calculation:
Its space-group type is I4/mmm, No. 139. The uncorrected formation energy is -0.499 eV/atom. The energy is -40.509 eV for the cell shown.

Structure (POSCAR):
```
CeNd2C2I2
1.0
-2.2990 2.2990 9.0346
2.2990 -2.2990 9.0346
2.2990 2.2990 -9.0346
Ce Nd C I
1 2 2 2
Cartesian
0.0000 0.0000 0.0000
0.0000 0.0000 7.4623
0.0000 0.0000 10.6070
2.2990 0.0000 0.0000
0.0000 2.2990 0.0000
0.0000 0.0000 3.2439
0.0000 0.0000 14.8254
```

=====

No. 3
An optimized crystal structure of Ce8C3I4O. Source: Alexandria, functional GGA-PBE.

Values from the calculation:
Its space-group type is R-3m, No. 166. The uncorrected formation energy is -0.921 eV/atom. The energy is -101.031 eV for the cell shown.

Structure (POSCAR):
```
Ce8C3I4O
1.0
3.7809 2.1829 7.7518
-3.7809 2.1829 7.7518
0.0000 -4.3658 7.7518
Ce C I O
8 3 4 1
Cartesian
-1.8893 -1.0908 12.9664
0.0000 0.0000 5.2243
0.0000 -2.1816 10.2890
-1.8893 1.0908 10.2890
1.8893 -1.0908 12.9664
0.0000 2.1816 12.9664
0.0000 0.0000 18.0311
1.8893 1.0908 10.2890
-3.7809 0.0000 11.6277
-1.8904 1.0914 3.8759
1.8904 1.0914 3.8759
0.0000 0.0000 0.0000
-1.8904 -1.0914 7.7518
-1.8904 1.0914 15.5036
0.0000 2.1829 7.7518
0.0000 0.0000 11.6277
```

=====

Q: The lowest energy belongs to which entry?
A: Ce8C3I4O